[1]
Entry from the Alexandria database: an optimized crystal structure of ZnTeCl2 (GGA-PBEsol).

Cell: 4.3443 4.3443 5.3776 Å, 113.82 113.82 90.00°
Sites, in units of the cell vectors:
Zn  0.0000  0.0000  0.0000
Te  0.5000  0.5000  0.0000
Cl  0.7500  0.2500  0.5000
Cl  0.2500  0.7500  0.5000

Summary:
Formation energy without anion corrections ... 57 kJ/mol of formula units
Space group ... I4/mmm, No. 139
Magnetization ... 0.000 μB/atom
Energy above the most stable polymorph in this dataset ... 586 meV per atom

---

[2]
Entry from the Alexandria database: an optimized crystal structure of ZrCu2Pb (GGA-PBEsol).

Cell: 3.9649 4.1729 4.1729 Å, 90.00 90.00 90.00°
Sites, in units of the cell vectors:
Cu  0.0000  0.0000  0.5000
Cu  0.0000  0.5000  0.0000
Pb  0.5000  0.5000  0.5000
Zr  0.5000  0.0000  0.0000

Summary:
Space group ... P4/mmm, No. 123
Magnetization ... 0.000 μB/atom
ΔE_f ... -0.01 eV/atom

---

[3]
Entry from the Alexandria database: an optimized crystal structure of MoAsBr2 (GGA-PBEsol).

Cell: 4.3709 4.5196 5.4707 Å, 113.54 112.66 91.97°
Sites, in units of the cell vectors:
Mo  0.5000  0.0000  0.0000
As  0.0000  0.5000  0.0000
Br  0.0000  0.0000  0.5000
Br  0.5000  0.5000  0.5000

Summary:
Formation energy without anion corrections ... 268 kJ/mol of formula units
Space group ... C2/m, No. 12
Magnetization ... 0.831 μB/atom
Energy above the most stable polymorph in this dataset ... 685 meV per atom

---

no.,N(E_F) (states/eV per cell)
1,3.36
2,2.83
3,1.88